Here is a relaxed structure of AlInPCl2 from Alexandria. Energies are from PBE-GGA.

The space group is P4/mmm (No. 123) and the conventional cell measures 4.6802, 4.6802 and 5.0523 Å, with angles of 90.00, 90.00 and 90.00 degrees. Symmetry generates all atoms from Al at (0.0000, 0.0000, 0.0000), In at (0.5000, 0.5000, 0.5000), P at (0.0000, 0.0000, 0.5000) and Cl at (0.0000, 0.5000, 0.0000).

The value obtained for the raw formation energy is -2.18 eV/f.u. As for the excess energy over the best structure of this formula in the dataset: 0 meV per atom. The total moment comes out at 0.000 μB/atom.



Here is a relaxed structure of BaScTc2 from Alexandria. Energies are from PBE-GGA.

The space group is Imm2 (No. 44) and the conventional cell measures 3.7782, 4.7364 and 12.4675 Å, with angles of 90.00, 90.00 and 90.00 degrees. Symmetry generates all atoms from Ba at (0.0000, 0.0000, 0.0000), Sc at (0.0000, 0.5000, 0.7562), Tc at (0.0000, 0.0000, 0.6430) and Tc at (0.0000, 0.5000, 0.2514).

The energy of formation from the pure elements comes out at 388.6 meV/atom. As for the excess energy over the best structure of this formula in the dataset: 154 meV per atom. The total moment comes out at 0.000 μB/atom.



Here is a relaxed structure of Ba2CaGeTe from Alexandria. Energies are from PBE-GGA.

The space group is P4/mmm (No. 123) and the conventional cell measures 6.3585, 6.3585 and 5.5711 Å, with angles of 90.00, 90.00 and 90.00 degrees. Symmetry generates all atoms from Ba at (0.0000, 0.5000, 0.0000), Ca at (0.0000, 0.0000, 0.5000), Ge at (0.0000, 0.0000, 0.0000) and Te at (0.5000, 0.5000, 0.5000).

The value obtained for the raw formation energy is -3.47 eV/f.u. The total moment comes out at 0.000 μB/atom.



Here is a relaxed structure of SrTlRe2 from Alexandria. Energies are from PBE-GGA.

The space group is I4/mmm (No. 139) and the conventional cell measures 4.1041, 4.1041 and 9.9526 Å, with angles of 90.00, 90.00 and 90.00 degrees. Symmetry generates all atoms from Sr at (0.0000, 0.0000, 0.0000), Tl at (0.0000, 0.0000, 0.5000) and Re at (0.0000, 0.5000, 0.2500).

The energy of formation from the pure elements comes out at 1325.0 meV/atom. As for the excess energy over the best structure of this formula in the dataset: 939 meV per atom. The total moment comes out at 0.000 μB/atom.



Here is a relaxed structure of Sr2BiCl from Alexandria. Energies are from PBE-GGA.

The space group is Fm-3m (No. 225) and the conventional cell measures 8.0729, 8.0729 and 8.0729 Å, with angles of 90.00, 90.00 and 90.00 degrees. Symmetry generates all atoms from Sr at (0.2500, 0.2500, 0.2500), Bi at (0.0000, 0.0000, 0.0000) and Cl at (0.0000, 0.0000, 0.5000).

The value obtained for the raw formation energy is -5.44 eV/f.u. The total moment comes out at 0.000 μB/atom.



Here is a relaxed structure of H5PdRh2 from Alexandria. Energies are from PBE-GGA.

The space group is Immm (No. 71) and the conventional cell measures 2.8750, 4.7220 and 8.8049 Å, with angles of 90.00, 90.00 and 90.00 degrees. Symmetry generates all atoms from H at (0.0000, 0.0000, 0.0000), H at (0.0000, 0.2695, 0.3546), Pd at (0.0000, 0.5000, 0.0000) and Rh at (0.0000, 0.0000, 0.1959).

The calculation puts the calculated total energy at -4.580 eV/atom. The total moment comes out at 0.000 μB/atom.



Here is a relaxed structure of TeWCN2 from Alexandria. Energies are from PBE-GGA.

The space group is P4/mmm (No. 123) and the conventional cell measures 3.8235, 3.8235 and 5.7973 Å, with angles of 90.00, 90.00 and 90.00 degrees. Symmetry generates all atoms from Te at (0.0000, 0.0000, 0.0000), W at (0.0000, 0.0000, 0.5000), C at (0.5000, 0.5000, 0.0000) and N at (0.0000, 0.5000, 0.5000).

The value obtained for the raw formation energy is 7.22 eV/f.u. As for the excess energy over the best structure of this formula in the dataset: 0 meV per atom. The total moment comes out at 0.205 μB/atom.



Here is a relaxed structure of Si2TcAg from Alexandria. Energies are from PBE-GGA.

The space group is P4mm (No. 99) and the conventional cell measures 3.3258, 3.3258 and 5.3134 Å, with angles of 90.00, 90.00 and 90.00 degrees. Symmetry generates all atoms from Si at (0.0000, 0.0000, 0.0000), Si at (0.5000, 0.5000, 0.2828), Tc at (0.0000, 0.0000, 0.4547) and Ag at (0.5000, 0.5000, 0.7921).

The value obtained for the raw formation energy is -0.15 eV/f.u. As for the excess energy over the best structure of this formula in the dataset: 20 meV per atom. The total moment comes out at 0.000 μB/atom.